# 1
Material: LiLa2Ce3N6
Method: DFT, GGA-PBE
State: optimized geometry

Values from the calculation:
The formation energy without anion corrections comes out at -1271 meV per atom. Its total energy is -0.5805 Ry per atom.

abc: 15.478 3.646 7.254
angles: 90.00 103.68 90.00
Space group C2/m (No. 12)
Inequivalent atoms, fractional coordinates:
Li  0.000  0.000  0.000 [2 per cell]
La  0.162  0.500  0.321 [4 per cell]
Ce  0.000  0.000  0.500 [2 per cell]
Ce  0.162  0.500  0.839 [4 per cell]
N  0.006  0.500  0.718 [4 per cell]
N  0.164  0.000  0.596 [4 per cell]
N  0.179  0.000  0.078 [4 per cell]


# 2
Material: LiLaCe2Pb4
Method: DFT, GGA-PBE
State: optimized geometry

Values from the calculation:
Its total energy is -0.3362 Ry per atom. For the calculated formation energy, the calculation gives -0.382 eV/atom.

abc: 5.3379 5.3379 29.0188
angles: 90.00 90.00 120.00
Space group R-3m (No. 166, hexagonal axes)
Inequivalent atoms, fractional coordinates:
Li  0.0000  0.0000  0.0000 [3 per cell]
La  0.0000  0.0000  0.5000 [3 per cell]
Ce  0.0000  0.0000  0.2612 [6 per cell]
Pb  0.0000  0.0000  0.1206 [6 per cell]
Pb  0.0000  0.0000  0.3730 [6 per cell]